Entry 1:
DFT (PBE) results for Pr2Cu3NiAs4 after structural relaxation.

Density of states at the Fermi level (states/eV/f.u.): 1.646
ΔH_f (0 K) (eV/f.u.): -6.4
Crystal system: tetragonal

Unit cell a=4.2586 b=4.2586 c=9.9552 alpha=90.00 beta=90.00 gamma=90.00
Fractional positions:
Cu 0.5000 0.0000 0.8689
Cu 0.0000 0.0000 0.5000
Cu 0.0000 0.5000 0.1311
As 0.0000 0.0000 0.0000
As 0.0000 0.5000 0.3722
As 0.5000 0.5000 0.0000
As 0.5000 0.0000 0.6278
Pr 0.5000 0.0000 0.2591
Pr 0.0000 0.5000 0.7409
Ni 0.5000 0.5000 0.5000

=====

Entry 2:
DFT (PBE) results for CuNiAs2Pt after structural relaxation.

Density of states at the Fermi level (states/eV/f.u.): 2.468
ΔH_f (0 K) (eV/f.u.): 2.3
Crystal system: tetragonal

Unit cell a=4.4117 b=4.4576 c=4.4117 alpha=90.00 beta=90.00 gamma=90.00
Fractional positions:
As 0.5000 0.0000 0.0000
As 0.0000 0.0000 0.5000
Cu 0.0000 0.5000 0.0000
Ni 0.0000 0.0000 0.0000
Pt 0.5000 0.5000 0.5000

=====

Entry 3:
DFT (PBE) results for Pu2CuNi3As4 after structural relaxation.

Density of states at the Fermi level (states/eV/f.u.): 22.878
ΔH_f (0 K) (eV/f.u.): -6.0
Crystal system: tetragonal

Unit cell a=4.2085 b=4.2085 c=9.4078 alpha=90.00 beta=90.00 gamma=90.00
Fractional positions:
As 0.5000 0.5000 0.0000
As 0.0000 0.5000 0.3626
As 0.0000 0.0000 0.0000
As 0.5000 0.0000 0.6374
Pu 0.5000 0.0000 0.2459
Pu 0.0000 0.5000 0.7541
Cu 0.5000 0.5000 0.5000
Ni 0.5000 0.0000 0.8847
Ni 0.0000 0.5000 0.1153
Ni 0.0000 0.0000 0.5000

=====

Entry 4:
DFT (PBE) results for Rb2CuNiAs after structural relaxation.

Density of states at the Fermi level (states/eV/f.u.): 5.216
ΔH_f (0 K) (eV/f.u.): 3.6
Crystal system: tetragonal

Unit cell a=6.2892 b=4.5226 c=6.2892 alpha=90.00 beta=90.00 gamma=90.00
Fractional positions:
Ni 0.0000 0.0000 0.0000
Rb 0.0000 0.0000 0.5000
Rb 0.5000 0.0000 0.0000
Cu 0.0000 0.5000 0.0000
As 0.5000 0.5000 0.5000

=====

Entry 5:
DFT (PBE) results for CuNiAsS4 after structural relaxation.

Density of states at the Fermi level (states/eV/f.u.): 3.925
Crystal system: orthorhombic
Formation energy (no corrections) (meV per atom): -108.8

Unit cell a=6.9751 b=7.0066 c=7.0066 alpha=68.69 beta=60.15 gamma=60.15
Fractional positions:
Cu 0.0000 0.0000 0.0000
Cu 0.0000 0.5000 0.5000
S 0.7594 0.1783 0.3030
S 0.2406 0.8217 0.6970
S 0.2411 0.7477 0.2477
S 0.2365 0.2523 0.7523
S 0.7635 0.7477 0.2477
S 0.7589 0.2523 0.7523
S 0.2406 0.1970 0.3217
S 0.7594 0.8030 0.6783
Ni 0.0000 0.0000 0.5000
Ni 0.5000 0.0000 0.5000
As 0.6484 0.6016 0.1016
As 0.3516 0.3984 0.8984

=====

Entry 6:
DFT (PBE) results for Cu2NiAsS4 after structural relaxation.

Density of states at the Fermi level (states/eV/f.u.): 4.897
Crystal system: tetragonal
Formation energy (no corrections) (meV per atom): -199.0

Unit cell a=5.2874 b=5.2874 c=6.4489 alpha=114.19 beta=114.19 gamma=90.02
Fractional positions:
Cu 0.7500 0.2500 0.5001
Cu 0.2500 0.7500 0.5001
Ni 0.5000 0.5000 0.0000
S 0.8603 0.3900 0.2503
S 0.6103 0.6103 0.7498
S 0.3900 0.8603 0.2503
S 0.1395 0.1395 0.7498
As 0.0002 0.0002 0.0003

=====

Entry 7:
DFT (PBE) results for CuNiAsSe2 after structural relaxation.

Density of states at the Fermi level (states/eV/f.u.): 4.715
Crystal system: tetragonal
Relative energy among the computed polymorphs (meV/atom): 35.1
Formation energy (no corrections) (meV per atom): 552.8

Unit cell a=4.8600 b=4.8600 c=4.3621 alpha=90.00 beta=90.00 gamma=90.00
Fractional positions:
Ni 0.0000 0.0000 0.0000
Se 0.0000 0.5000 0.0000
Se 0.5000 0.0000 0.0000
Cu 0.5000 0.5000 0.5000
As 0.0000 0.0000 0.5000

=====

Entry 8:
DFT (PBE) results for CuNiAsSe2 after structural relaxation.

Density of states at the Fermi level (states/eV/f.u.): 3.170
Crystal system: tetragonal
Relative energy among the computed polymorphs (meV/atom): 0.0
Formation energy (no corrections) (meV per atom): 517.7

Unit cell a=4.6376 b=4.4783 c=4.6376 alpha=90.00 beta=90.00 gamma=90.00
Fractional positions:
Cu 0.0000 0.5000 0.0000
Se 0.5000 0.0000 0.0000
Se 0.0000 0.0000 0.5000
As 0.5000 0.5000 0.5000
Ni 0.0000 0.0000 0.0000

=====

Entry 9:
DFT (PBE) results for CuNiAsSe2 after structural relaxation.

Density of states at the Fermi level (states/eV/f.u.): 4.957
Crystal system: tetragonal
Relative energy among the computed polymorphs (meV/atom): 335.6
Formation energy (no corrections) (meV per atom): 853.3

Unit cell a=4.8197 b=4.8197 c=4.5285 alpha=90.00 beta=90.00 gamma=90.00
Fractional positions:
Se 0.0000 0.5000 0.0000
Se 0.5000 0.0000 0.0000
As 0.0000 0.0000 0.5000
Cu 0.0000 0.0000 0.0000
Ni 0.5000 0.5000 0.5000

=====

Entry 10:
DFT (PBE) results for Sm2CuNi3As4 after structural relaxation.

Density of states at the Fermi level (states/eV/f.u.): 3.462
ΔH_f (0 K) (eV/f.u.): -7.7
Crystal system: tetragonal

Unit cell a=4.2012 b=4.2012 c=9.5610 alpha=90.00 beta=90.00 gamma=90.00
Fractional positions:
Ni 0.0000 0.5000 0.1183
Ni 0.5000 0.0000 0.8817
Ni 0.0000 0.0000 0.5000
Sm 0.0000 0.5000 0.7504
Sm 0.5000 0.0000 0.2496
As 0.5000 0.0000 0.6343
As 0.5000 0.5000 0.0000
As 0.0000 0.5000 0.3657
As 0.0000 0.0000 0.0000
Cu 0.5000 0.5000 0.5000

=====

Entry 11:
DFT (PBE) results for Sm2Cu3NiAs4 after structural relaxation.

Density of states at the Fermi level (states/eV/f.u.): 1.099
ΔH_f (0 K) (eV/f.u.): -6.2
Crystal system: tetragonal

Unit cell a=4.2083 b=4.2083 c=9.9523 alpha=90.00 beta=90.00 gamma=90.00
Fractional positions:
Sm 0.5000 0.0000 0.2602
Sm 0.0000 0.5000 0.7398
Cu 0.0000 0.0000 0.5000
Cu 0.5000 0.0000 0.8668
Cu 0.0000 0.5000 0.1332
Ni 0.5000 0.5000 0.5000
As 0.5000 0.0000 0.6293
As 0.0000 0.0000 0.0000
As 0.5000 0.5000 0.0000
As 0.0000 0.5000 0.3707

=====

Entry 12:
DFT (PBE) results for Tb2CuNi4As3 after structural relaxation.

Density of states at the Fermi level (states/eV/f.u.): 5.376
ΔH_f (0 K) (eV/f.u.): -7.4
Crystal system: tetragonal

Unit cell a=4.0587 b=4.0587 c=9.5733 alpha=90.00 beta=90.00 gamma=90.00
Fractional positions:
As 0.0000 0.0000 0.5000
As 0.0000 0.5000 0.1347
As 0.5000 0.0000 0.8653
Ni 0.5000 0.0000 0.6251
Ni 0.5000 0.5000 0.0000
Ni 0.0000 0.0000 0.0000
Ni 0.0000 0.5000 0.3749
Tb 0.5000 0.0000 0.2489
Tb 0.0000 0.5000 0.7511
Cu 0.5000 0.5000 0.5000